[1]
Entry from the Alexandria database: Y2SnAu2 after structural relaxation (PBE-GGA).

Cell: 8.344 8.344 3.627 Å, 90.00 90.00 90.00°
Fractional positions:
Sn (0.500, 0.500, 0.000)
Sn (0.000, 0.000, 0.000)
Au (0.371, 0.129, 0.500)
Au (0.871, 0.371, 0.500)
Au (0.129, 0.629, 0.500)
Au (0.629, 0.871, 0.500)
Y (0.836, 0.664, 0.000)
Y (0.664, 0.164, 0.000)
Y (0.164, 0.336, 0.000)
Y (0.336, 0.836, 0.000)

Properties
N(E_F)	7.295	states/eV per cell
DFT formation energy	-0.617	eV per atom

[2]
Entry from the Alexandria database: Y2SnAu2 after structural relaxation (PBE-GGA).

Cell: 7.967 7.967 7.500 Å, 90.00 90.00 90.00°
Fractional positions:
Y (0.658, 0.658, 0.000)
Y (0.342, 0.342, 0.000)
Y (0.318, 0.318, 0.500)
Y (0.682, 0.682, 0.500)
Y (0.158, 0.842, 0.500)
Y (0.842, 0.158, 0.500)
Y (0.182, 0.818, 0.000)
Y (0.818, 0.182, 0.000)
Au (0.127, 0.127, 0.776)
Au (0.627, 0.373, 0.724)
Au (0.873, 0.873, 0.776)
Au (0.373, 0.627, 0.724)
Au (0.627, 0.373, 0.276)
Au (0.373, 0.627, 0.276)
Au (0.873, 0.873, 0.224)
Au (0.127, 0.127, 0.224)
Sn (0.000, 0.500, 0.250)
Sn (0.500, 0.000, 0.750)
Sn (0.000, 0.500, 0.750)
Sn (0.500, 0.000, 0.250)

Properties
N(E_F)	7.662	states/eV per cell
DFT formation energy	-0.853	eV per atom

[3]
Entry from the Alexandria database: YZnSnAu2 after structural relaxation (PBE-GGA).

Cell: 4.831 5.136 4.831 Å, 90.00 90.00 90.00°
Fractional positions:
Au (0.500, 0.000, 0.000)
Au (0.000, 0.000, 0.500)
Y (0.500, 0.500, 0.500)
Zn (0.000, 0.000, 0.000)
Sn (0.000, 0.500, 0.000)

Properties
N(E_F)	2.435	states/eV per cell
DFT formation energy	-0.103	eV per atom

[4]
Entry from the Alexandria database: YbSnAu2 after structural relaxation (PBE-GGA).

Cell: 4.998 4.998 4.998 Å, 60.00 60.00 60.00°
Fractional positions:
Sn (0.500, 0.500, 0.500)
Au (0.250, 0.250, 0.250)
Au (0.750, 0.750, 0.750)
Yb (0.000, 0.000, 0.000)

Properties
N(E_F)	15.256	states/eV per cell
DFT formation energy	-0.639	eV per atom

[5]
Entry from the Alexandria database: ZnSn2Au after structural relaxation (PBE-GGA).

Cell: 3.206 3.206 10.731 Å, 81.41 81.41 60.00°
Fractional positions:
Sn (0.909, 0.909, 0.273)
Sn (0.091, 0.091, 0.727)
Zn (0.000, 0.000, 0.000)
Au (0.500, 0.500, 0.500)

Properties
N(E_F)	1.319	states/eV per cell
DFT formation energy	0.107	eV per atom

[6]
Entry from the Alexandria database: ZnSn3Au after structural relaxation (PBE-GGA).

Cell: 5.171 5.171 5.171 Å, 90.00 90.00 90.00°
Fractional positions:
Zn (0.000, 0.000, 0.000)
Sn (0.500, 0.000, 0.000)
Sn (0.000, 0.500, 0.000)
Sn (0.000, 0.000, 0.500)
Au (0.500, 0.500, 0.500)

Properties
N(E_F)	3.763	states/eV per cell
DFT formation energy	0.445	eV per atom

[7]
Entry from the Alexandria database: Zn2SnAu after structural relaxation (PBE-GGA).

Cell: 3.315 3.315 6.993 Å, 90.00 90.00 90.00°
Fractional positions:
Zn (0.000, 0.000, 0.206)
Zn (0.000, 0.000, 0.794)
Au (0.500, 0.500, 0.000)
Sn (0.500, 0.500, 0.500)

Properties
N(E_F)	1.003	states/eV per cell
DFT formation energy	-0.005	eV per atom

[8]
Entry from the Alexandria database: Zn2SnAu8 after structural relaxation (PBE-GGA).

Cell: 4.660 8.232 8.232 Å, 40.76 92.50 92.50°
Fractional positions:
Au (0.266, 0.124, 0.608)
Au (0.746, 0.450, 0.450)
Au (0.254, 0.550, 0.550)
Au (0.249, 0.189, 0.189)
Au (0.734, 0.876, 0.392)
Au (0.751, 0.811, 0.811)
Au (0.266, 0.608, 0.124)
Au (0.734, 0.392, 0.876)
Zn (0.234, 0.717, 0.717)
Zn (0.766, 0.283, 0.283)
Sn (0.000, 0.000, 0.000)

Properties
N(E_F)	3.498	states/eV per cell
DFT formation energy	-0.089	eV per atom

no.,ρ (g/cm³),final energy (eV per atom)
1,9.081,-5.31
2,9.635,-5.55
3,9.241,-3.76
4,12.900,-3.66
5,8.822,-3.03
6,7.429,-2.87
7,9.648,-2.46
8,14.717,-3.07